Entry 1:
Computed, not measured: crystalline CeSbPt4 at its relaxed geometry at the PBE-GGA level of DFT.

**Crystal system**: cubic
**Energy**: -6.387 eV/atom

Cell lengths 5.4529, 5.4529, 5.4529 Å; angles 60.00, 60.00, 60.00 degrees
Positions (direct):
Ce 0.0000 0.0000 0.0000
Sb 0.2500 0.2500 0.2500
Pt 0.1253 0.6249 0.6249
Pt 0.6249 0.1253 0.6249
Pt 0.6249 0.6249 0.1253
Pt 0.6249 0.6249 0.6249

Entry 2:
Computed, not measured: crystalline CeSb2Pt2 at its relaxed geometry at the PBE-GGA level of DFT.

**Crystal system**: monoclinic
**Energy**: -6.058 eV/atom

Cell lengths 4.9106, 4.6266, 10.1176 Å; angles 90.00, 91.23, 90.00 degrees
Positions (direct):
Ce 0.2287 0.2500 0.2387
Ce 0.7713 0.7500 0.7613
Sb 0.2516 0.7500 0.4900
Sb 0.3183 0.2500 0.8786
Sb 0.6817 0.7500 0.1214
Sb 0.7484 0.2500 0.5100
Pt 0.1797 0.7500 0.9985
Pt 0.2502 0.2500 0.6219
Pt 0.7498 0.7500 0.3781
Pt 0.8203 0.2500 0.0015

The lowest energy belongs to which entry?
CeSbPt4

Which of these has the highest energy?
CeSb2Pt2

The lowest energy belongs to which entry?
CeSbPt4